# 1
Computed, not measured: an optimized crystal structure of HgS3Cl12 at the GGA-PBE level of DFT.

Properties
- theoretical density (g/cm³) = 2.21
- total moment (μB/f.u.) = 0.1
- space-group type = R3c (161)
- calculated total energy (eV for the cell shown) = -72.94
- uncorrected formation energy (eV/f.u.) = -1.625

a b c (Å): 10.235 10.235 13.356
angles (deg): 67.47 67.47 60.00
Sites, in units of the cell vectors:
Cl: 0.468 0.264 0.596
Cl: 0.254 0.233 0.899
Cl: 0.754 0.113 0.399
Cl: 0.733 0.754 0.399
Cl: 0.968 0.173 0.096
Cl: 0.673 0.468 0.596
Cl: 0.451 0.884 0.892
Cl: 0.764 0.968 0.096
Cl: 0.320 0.976 0.122
Cl: 0.774 0.451 0.892
Cl: 0.613 0.254 0.899
Cl: 0.476 0.820 0.622
Cl: 0.820 0.082 0.622
Cl: 0.976 0.582 0.122
Cl: 0.582 0.320 0.122
Cl: 0.951 0.274 0.392
Cl: 0.884 0.774 0.892
Cl: 0.173 0.764 0.096
Cl: 0.274 0.384 0.392
Cl: 0.264 0.673 0.596
Cl: 0.233 0.613 0.899
Cl: 0.384 0.951 0.392
Cl: 0.082 0.476 0.622
Cl: 0.113 0.733 0.399
S: 0.025 0.750 0.991
S: 0.525 0.734 0.491
S: 0.250 0.525 0.491
S: 0.750 0.234 0.991
S: 0.234 0.025 0.991
S: 0.734 0.250 0.491
Hg: 0.062 0.062 0.813
Hg: 0.562 0.562 0.313

# 2
Computed, not measured: an optimized crystal structure of Hg4S2Cl5 at the GGA-PBE level of DFT.

Properties
- theoretical density (g/cm³) = 5.31
- total moment (μB/f.u.) = 0.0
- space-group type = P-1 (2)
- calculated total energy (eV for the cell shown) = -22.51
- uncorrected formation energy (eV/f.u.) = -3.811

a b c (Å): 4.347 8.965 9.160
angles (deg): 109.78 103.26 81.80
Sites, in units of the cell vectors:
Cl: 0.099 0.792 0.316
Cl: 0.500 0.000 0.000
Cl: 0.901 0.208 0.684
Cl: 0.219 0.331 0.363
Cl: 0.781 0.669 0.637
S: 0.524 0.426 0.067
S: 0.476 0.574 0.933
Hg: 0.000 0.792 0.009
Hg: 0.000 0.208 0.991
Hg: 0.305 0.395 0.651
Hg: 0.695 0.605 0.349